(1)
Below is a relaxed structure of BeIn2, with properties calculated at the PBEsol level.

Calculated values
* DFT formation energy: 0.8 eV/f.u.
* crystal system: monoclinic
* space-group type: C2/m, No. 12

a b c (Å): 3.418 6.295 6.470
angles (deg): 117.75 90.00 105.75
Sites, in units of the cell vectors:
Be1 0.595 0.190 0.024
Be2 0.405 0.810 0.976
In1 0.947 0.893 0.690
In2 0.290 0.581 0.234
In3 0.053 0.107 0.310
In4 0.710 0.419 0.766

***

(2)
Below is a relaxed structure of BeIn2Ir, with properties calculated at the PBEsol level.

Calculated values
* DFT formation energy: 1.4 eV/f.u.
* crystal system: cubic
* space-group type: F-43m, No. 216

a b c (Å): 4.514 4.514 4.514
angles (deg): 60.00 60.00 60.00
Sites, in units of the cell vectors:
Be1 0.500 0.500 0.500
Ir1 0.250 0.250 0.250
In1 0.000 0.000 0.000
In2 0.750 0.750 0.750

***

(3)
Below is a relaxed structure of BeInIr4, with properties calculated at the PBEsol level.

Calculated values
* DFT formation energy: 2.8 eV/f.u.
* crystal system: cubic
* space-group type: F-43m, No. 216

a b c (Å): 5.136 5.136 5.136
angles (deg): 60.00 60.00 60.00
Sites, in units of the cell vectors:
Be1 0.250 0.250 0.250
In1 0.000 0.000 0.000
Ir1 0.625 0.625 0.126
Ir2 0.126 0.625 0.625
Ir3 0.625 0.126 0.625
Ir4 0.625 0.625 0.625

***

(4)
Below is a relaxed structure of BeInIr2, with properties calculated at the PBEsol level.

Calculated values
* DFT formation energy: 0.1 eV/f.u.
* crystal system: orthorhombic
* space-group type: Amm2, No. 38

a b c (Å): 2.828 4.142 5.156
angles (deg): 90.00 105.96 90.00
Sites, in units of the cell vectors:
Be1 0.662 0.000 0.447
Ir1 0.954 0.000 0.035
Ir2 0.575 0.500 0.276
In1 0.308 0.500 0.741

***

(5)
Below is a relaxed structure of BeIn2Ir, with properties calculated at the PBEsol level.

Calculated values
* DFT formation energy: 0.6 eV/f.u.
* crystal system: tetragonal
* space-group type: I4/mmm, No. 139

a b c (Å): 4.076 4.076 4.827
angles (deg): 114.98 114.98 90.00
Sites, in units of the cell vectors:
Be1 0.500 0.500 0.000
Ir1 0.000 0.000 0.000
In1 0.750 0.250 0.500
In2 0.250 0.750 0.500

***

(6)
Below is a relaxed structure of BeInIr2, with properties calculated at the PBEsol level.

Calculated values
* DFT formation energy: 0.2 eV/f.u.
* crystal system: orthorhombic
* space-group type: Imm2, No. 44

a b c (Å): 2.935 4.232 5.224
angles (deg): 113.89 106.32 90.00
Sites, in units of the cell vectors:
Be1 0.478 0.478 0.956
Ir1 0.012 0.012 0.024
Ir2 0.784 0.284 0.568
In1 0.225 0.725 0.451

***

(7)
Below is a relaxed structure of Be2InIrO, with properties calculated at the PBEsol level.

Calculated values
* crystal system: tetragonal
* space-group type: P4/mmm, No. 123
* ΔE_f (raw): -364 meV per atom

a b c (Å): 3.634 3.634 4.614
angles (deg): 90.00 90.00 90.00
Sites, in units of the cell vectors:
Be1 0.000 0.500 0.000
Be2 0.500 0.000 0.000
Ir1 0.500 0.500 0.500
O1 0.000 0.000 0.000
In1 0.000 0.000 0.500

***

(8)
Below is a relaxed structure of TaBeInIr2, with properties calculated at the PBEsol level.

Calculated values
* DFT formation energy: 12.7 eV/f.u.
* crystal system: tetragonal
* space-group type: P4/mmm, No. 123

a b c (Å): 4.755 4.755 4.928
angles (deg): 90.00 90.00 90.00
Each line ends with the local moment (μB).
Sites, in units of the cell vectors:
Be1 0.500 0.500 0.500  0.01
Ir1 0.000 0.500 0.000  0.22
Ir2 0.500 0.000 0.000  0.22
In1 0.000 0.000 0.000  0.02
Ta1 0.000 0.000 0.500  0.50

***

(9)
Below is a relaxed structure of K2BeIn, with properties calculated at the PBEsol level.

Calculated values
* DFT formation energy: 1.5 eV/f.u.
* crystal system: orthorhombic
* space-group type: Cmm2, No. 35
* E above lowest polymorph: 102 meV per atom

a b c (Å): 3.711 3.711 10.152
angles (deg): 90.00 90.00 98.32
Sites, in units of the cell vectors:
Be1 0.000 0.000 0.406
K1 0.000 0.000 0.076
K2 0.500 0.500 0.675
In1 0.500 0.500 0.342

***

(10)
Below is a relaxed structure of K2BeIn, with properties calculated at the PBEsol level.

Calculated values
* DFT formation energy: 1.1 eV/f.u.
* crystal system: monoclinic
* space-group type: Cm, No. 8
* E above lowest polymorph: 0 meV per atom

a b c (Å): 4.149 4.508 9.534
angles (deg): 102.63 90.00 117.39
Sites, in units of the cell vectors:
Be1 0.474 0.947 0.375
K1 0.039 0.078 0.107
K2 0.197 0.394 0.643
In1 0.790 0.581 0.375

***

(11)
Below is a relaxed structure of K2BeIn, with properties calculated at the PBEsol level.

Calculated values
* DFT formation energy: 2.6 eV/f.u.
* crystal system: tetragonal
* space-group type: I4/mmm, No. 139
* E above lowest polymorph: 366 meV per atom

a b c (Å): 4.673 4.673 6.453
angles (deg): 111.23 111.23 90.00
Sites, in units of the cell vectors:
Be1 0.000 0.000 0.000
K1 0.750 0.250 0.500
K2 0.250 0.750 0.500
In1 0.500 0.500 0.000

***

(12)
Below is a relaxed structure of KBeIn, with properties calculated at the PBEsol level.

Calculated values
* DFT formation energy: 1.4 eV/f.u.
* crystal system: tetragonal
* space-group type: I4mm, No. 107

a b c (Å): 3.569 3.569 6.658
angles (deg): 105.55 105.55 90.00
Sites, in units of the cell vectors:
Be1 0.057 0.057 0.115
K1 0.333 0.333 0.666
In1 0.609 0.609 0.219

***

Number 1: volume 19.5 Å³ per atom. Number 2: volume 16.3 Å³ per atom. Number 3: volume 16.0 Å³ per atom. Number 4: volume 14.5 Å³ per atom. Number 5: volume 16.1 Å³ per atom. Number 6: volume 14.1 Å³ per atom. Number 7: volume 12.2 Å³ per atom. Number 8: volume 22.3 Å³ per atom. Number 9: volume 34.6 Å³ per atom. Number 10: volume 38.4 Å³ per atom. Number 11: volume 30.3 Å³ per atom. Number 12: volume 26.2 Å³ per atom.